Record 1
AlCoHRu2: optimized geometry, PBE.

The crystal system is tetragonal.

extended XYZ file:
```
5
Lattice="4.091 0.000 0.000 0.000 4.091 0.000 0.000 0.000 3.258" Properties=species:S:1:pos:R:3 pbc="T T T"
Ru 0.000 2.045 0.000
Ru 2.045 0.000 0.000
Co 0.000 0.000 1.629
Al 2.045 2.045 1.629
H 0.000 0.000 0.000
```



Record 2
TiTl2S4: optimized geometry, PBE.

The crystal system is tetragonal. The calculation puts the excess energy over the best structure of this formula in the dataset at 1.920 eV/f.u.

extended XYZ file:
```
7
Lattice="4.627 0.000 0.000 0.000 4.627 0.000 2.313 2.313 8.137" Properties=species:S:1:pos:R:3 pbc="T T T"
Tl 2.313 2.313 2.635
Tl 4.627 4.627 5.502
S 2.313 2.313 5.644
S 4.627 4.627 2.492
S 0.000 2.313 0.000
S 2.313 0.000 0.000
Ti 0.000 0.000 0.000
```



Computed values of magnetization (unit: μB/cell) for the preceding records, in sequence: 1.034 0.001.
Computed values of calculated total energy (unit: eV/f.u.) for the preceding records, in sequence: -33.374 -32.273.